[1]
Y2ReTcB | PBE | optimized geometry

extended XYZ file:
```
5
Lattice="-2.065 4.113 -1.818 1.400 -0.891 -3.606 -4.145 -2.517 -0.988" Properties=species:S:1:pos:R:3 pbc="T T T"
Tc 0.700 -0.446 -1.803
B 0.000 0.000 0.000
Y -1.032 2.057 -0.909
Y -2.072 -1.259 -0.494
Re -2.405 0.352 -3.206
```

## Properties
D(E_F) = 7.28 states/eV per cell
ΔH_f (0 K) = 2.00 eV/f.u.
Crystal system = tetragonal

[2]
SbTe2Pb | PBE | optimized geometry

extended XYZ file:
```
4
Lattice="9.438 -0.654 -2.049 -4.895 5.137 1.147 -0.353 0.959 3.007" Properties=species:S:1:pos:R:3 pbc="T T T"
Pb -2.624 3.048 2.077
Sb 2.271 2.242 -0.451
Te 0.000 0.000 0.000
Te 4.543 0.153 0.479
```

## Properties
Total DFT energy (no corrections) = -3.614 eV/atom
D(E_F) = 1.32 states/eV per cell
Crystal system = orthorhombic

[3]
CeYThSn | PBE | optimized geometry

extended XYZ file:
```
4
Lattice="5.455 0.000 0.000 2.727 4.724 0.000 2.727 1.575 4.454" Properties=species:S:1:pos:R:3 pbc="T T T"
Sn 0.000 0.000 0.000
Ce 5.455 3.149 2.227
Y 8.182 4.724 3.340
Th 2.727 1.575 1.113
```

## Properties
D(E_F) = 8.12 states/eV per cell
ΔH_f (0 K) = -0.53 eV/f.u.
Crystal system = cubic

[4]
LiCe2HO3 | PBE | optimized geometry

extended XYZ file:
```
7
Lattice="6.780 0.003 0.000 4.842 4.745 0.000 -5.744 -2.538 2.555" Properties=species:S:1:pos:R:3 pbc="T T T"
Ce 7.416 3.030 0.000
Ce 4.206 1.718 0.000
H -0.451 1.104 1.278
Li 0.000 0.000 0.000
O 2.053 0.839 0.000
O 0.518 -1.267 1.277
O 9.569 3.910 0.000
```

## Properties
Total DFT energy (no corrections) = -7.047 eV/atom
D(E_F) = 9.35 states/eV per cell
Crystal system = orthorhombic

[5]
Ac2PdPtAu | PBE | optimized geometry

extended XYZ file:
```
10
Lattice="4.533 0.000 0.000 0.000 8.077 -0.048 0.000 -3.415 7.590" Properties=species:S:1:pos:R:3 pbc="T T T"
Pd 3.399 2.988 1.995
Pd 1.133 1.673 5.548
Ac 1.133 0.166 2.829
Ac 1.133 -0.967 7.267
Ac 3.399 5.629 0.276
Ac 3.399 4.496 4.714
Pt 1.133 4.075 6.810
Pt 3.399 0.586 0.732
Au 3.399 -0.092 5.140
Au 1.133 4.754 2.403
```

## Properties
D(E_F) = 6.27 states/eV per cell
ΔH_f (0 K) = -4.31 eV/f.u.
Crystal system = monoclinic

[6]
La2FeBi | PBE | optimized geometry

extended XYZ file:
```
8
Lattice="-0.355 6.047 5.537 -2.978 -5.259 5.552 1.356 -0.306 6.503" Properties=species:S:1:pos:R:3 pbc="T T T"
La -0.226 2.558 5.334
La -0.473 -0.358 9.483
La -1.659 0.884 14.132
La -1.595 -2.120 6.234
Fe -1.666 0.394 5.544
Fe -1.644 -2.585 8.799
Bi 0.000 0.000 0.000
Bi -0.332 3.067 8.792
```

## Properties
D(E_F) = 8.47 states/eV per cell
ΔH_f (0 K) = -0.49 eV/f.u.
Crystal system = tetragonal

Q: Among the records above, which one has the lowest D(E_F)?
A: SbTe2Pb

Q: Among the records above, which one has the highest D(E_F)?
A: LiCe2HO3